Record 1
VASP calculation (PBE-GGA) on Er4HgPdRh2 after structural relaxation.

```
8
Lattice="2.461 1.421 8.122 -2.461 1.421 8.122 0.000 -2.841 8.122" Properties=species:S:1:pos:R:3 pbc="T T T"
Er 0.000 0.000 2.929
Er 0.000 0.000 9.059
Er 0.000 0.000 15.308
Er 0.000 0.000 21.439
Hg 0.000 0.000 12.184
Pd 0.000 0.000 0.000
Rh 0.000 0.000 6.148
Rh 0.000 0.000 18.220
```

Results
Uncorrected energy, eV per atom: -5.591
ΔE_f, eV per atom: -0.784
D(E_F), states/eV per atom: 0.595

***

Record 2
VASP calculation (PBE-GGA) on Ca2LaV after structural relaxation.

```
4
Lattice="0.000 3.982 3.982 3.982 0.000 3.982 3.982 3.982 0.000" Properties=species:S:1:pos:R:3 pbc="T T T"
Ca 1.991 1.991 1.991
Ca 5.973 5.973 5.973
La 0.000 0.000 0.000
V 3.982 3.982 3.982
```

Results
Uncorrected energy, eV per atom: -3.972
ΔE_f, eV per atom: 0.541
D(E_F), states/eV per atom: 1.241

***

Record 3
VASP calculation (PBE-GGA) on CaH2Pt after structural relaxation.

```
8
Lattice="1.995 -5.729 0.000 1.995 5.729 0.000 0.000 0.000 4.546" Properties=species:S:1:pos:R:3 pbc="T T T"
Ca 1.995 4.215 3.410
Ca 1.995 -4.215 1.137
H 1.995 2.065 0.020
H 1.995 2.065 2.253
H 1.995 -2.065 2.293
H 1.995 -2.065 4.526
Pt 1.995 0.871 3.410
Pt 1.995 -0.871 1.137
```

Results
Uncorrected energy, eV per atom: -4.326
ΔE to the lowest computed polymorph, meV per atom: 0
D(E_F), states/eV per atom: 0.162